Entry 1:
Density functional theory data (PBE) for an optimized crystal structure of Tb3Tm5Ag12.

The value obtained for the magnetization is 0.00 μB per atom. The formation energy comes out at 0.225 eV/atom. Its crystal system is cubic.

The space group is Ia-3d (No. 230) and the conventional cell measures 16.735, 16.735 and 16.735 Å, with angles of 90.00, 90.00 and 90.00 degrees. The inequivalent atoms are Tb at (0.000, 0.250, 0.125), Tm at (0.000, 0.000, 0.000), Tm at (0.000, 0.250, 0.375) and Ag at (0.004, 0.077, 0.653).

Entry 2:
Density functional theory data (PBE) for an optimized crystal structure of Tb4TmAg.

The value obtained for the magnetization is 0.00 μB per atom. The formation energy comes out at -0.079 eV/atom. Its crystal system is tetragonal. For the energy above the lowest structure with this stoichiometry, the calculation gives 0.000 eV/atom.

The space group is P4/mmm (No. 123) and the conventional cell measures 3.549, 3.549 and 13.919 Å, with angles of 90.00, 90.00 and 90.00 degrees. The inequivalent atoms are Tb at (0.000, 0.000, 0.139), Tb at (0.500, 0.500, 0.323), Tm at (0.000, 0.000, 0.500) and Ag at (0.500, 0.500, 0.000).

Entry 3:
Density functional theory data (PBE) for an optimized crystal structure of TbTm4Ag5.

The value obtained for the magnetization is 0.00 μB per atom. The formation energy comes out at -0.336 eV/atom. Its crystal system is tetragonal.

The space group is P4/mmm (No. 123) and the conventional cell measures 3.565, 3.565 and 18.324 Å, with angles of 90.00, 90.00 and 90.00 degrees. The inequivalent atoms are Tb at (0.000, 0.000, 0.000), Tm at (0.000, 0.000, 0.202), Tm at (0.000, 0.000, 0.401), Ag at (0.500, 0.500, 0.105), Ag at (0.500, 0.500, 0.301) and Ag at (0.500, 0.500, 0.500).

Entry 4:
Density functional theory data (PBE) for an optimized crystal structure of TbTmAg.

The value obtained for the magnetization is 0.00 μB per atom. The formation energy comes out at -0.040 eV/atom. Its crystal system is trigonal. For the energy above the lowest structure with this stoichiometry, the calculation gives 0.163 eV/atom.

The space group is P3m1 (No. 156) and the conventional cell measures 5.0284, 5.0284 and 3.6335 Å, with angles of 90.00, 90.00 and 120.00 degrees. The inequivalent atoms are Tb at (0.0000, 0.0000, 0.0000), Tm at (0.3333, 0.6667, 0.5382) and Ag at (0.6667, 0.3333, 0.3002).

Entry 5:
Density functional theory data (PBE) for an optimized crystal structure of TbTm2Ag.

The value obtained for the magnetization is 0.00 μB per atom. The formation energy comes out at -0.080 eV/atom. Its crystal system is orthorhombic. For the energy above the lowest structure with this stoichiometry, the calculation gives 0.059 eV/atom.

The space group is Cmcm (No. 63) and the conventional cell measures 4.835, 11.373 and 8.212 Å, with angles of 90.00, 90.00 and 90.00 degrees. The inequivalent atoms are Tb at (0.000, 0.052, 0.250), Tm at (0.000, 0.356, 0.045) and Ag at (0.000, 0.220, 0.750).

Entry 6:
Density functional theory data (PBE) for an optimized crystal structure of Tb2TmAg5.

The value obtained for the magnetization is 0.00 μB per atom. The formation energy comes out at -0.237 eV/atom. Its crystal system is tetragonal.

The space group is I4/mmm (No. 139) and the conventional cell measures 5.045, 5.045 and 14.105 Å, with angles of 90.00, 90.00 and 90.00 degrees. The inequivalent atoms are Tb at (0.000, 0.000, 0.235), Tm at (0.000, 0.000, 0.500), Ag at (0.000, 0.000, 0.000) and Ag at (0.000, 0.500, 0.118).

Entry 7:
Density functional theory data (PBE) for an optimized crystal structure of Tb3Tm2Ag2.

The value obtained for the magnetization is 0.00 μB per atom. The formation energy comes out at -0.105 eV/atom. Its crystal system is trigonal. For the energy above the lowest structure with this stoichiometry, the calculation gives 0.054 eV/atom.

The space group is R-3m (No. 166, hexagonal axes) and the conventional cell measures 5.3147, 5.3147 and 23.0504 Å, with angles of 90.00, 90.00 and 120.00 degrees. The inequivalent atoms are Tb at (0.0000, 0.0000, 0.0000), Tb at (0.0000, 0.0000, 0.1615), Tm at (0.0000, 0.0000, 0.4250) and Ag at (0.0000, 0.0000, 0.2888).

Entry 8:
Density functional theory data (PBE) for an optimized crystal structure of TbTmAg.

The value obtained for the magnetization is 0.27 μB per atom. The formation energy comes out at -0.178 eV/atom. Its crystal system is tetragonal. For the energy above the lowest structure with this stoichiometry, the calculation gives 0.025 eV/atom.

The space group is I4mm (No. 107) and the conventional cell measures 3.572, 3.572 and 12.477 Å, with angles of 90.00, 90.00 and 90.00 degrees. The inequivalent atoms are Tb at (0.000, 0.000, 0.000), Tm at (0.000, 0.000, 0.299) and Ag at (0.000, 0.000, 0.656).

Entry 9:
Density functional theory data (PBE) for an optimized crystal structure of Tb5Tm3Ag2.

The value obtained for the magnetization is 0.00 μB per atom. The formation energy comes out at 0.132 eV/atom. Its crystal system is orthorhombic.

The space group is Ibam (No. 72) and the conventional cell measures 11.153, 16.403 and 6.500 Å, with angles of 90.00, 90.00 and 90.00 degrees. The inequivalent atoms are Tb at (0.000, 0.000, 0.250), Tb at (0.000, 0.189, 0.250), Tb at (0.237, 0.055, 0.000), Tm at (0.000, 0.500, 0.250), Tm at (0.206, 0.340, 0.000) and Ag at (0.068, 0.333, 0.500).

Entry 10:
Density functional theory data (PBE) for an optimized crystal structure of Tb4TmAg.

The value obtained for the magnetization is 0.00 μB per atom. The formation energy comes out at 0.043 eV/atom. Its crystal system is orthorhombic. For the energy above the lowest structure with this stoichiometry, the calculation gives 0.122 eV/atom.

The space group is Cmc2_1 (No. 36) and the conventional cell measures 5.427, 20.702 and 6.405 Å, with angles of 90.00, 90.00 and 90.00 degrees. The inequivalent atoms are Tb at (0.000, 0.036, 0.000), Tb at (0.000, 0.178, 0.810), Tb at (0.000, 0.245, 0.292), Tb at (0.000, 0.435, 0.169), Tm at (0.000, 0.365, 0.667) and Ag at (0.000, 0.104, 0.410).

Entry 11:
Density functional theory data (PBE) for an optimized crystal structure of Tb3TmAg3.

The value obtained for the magnetization is 0.00 μB per atom. The formation energy comes out at -0.143 eV/atom. Its crystal system is monoclinic.

The space group is C2/m (No. 12) and the conventional cell measures 9.873, 10.675 and 7.032 Å, with angles of 90.00, 91.26 and 90.00 degrees. The inequivalent atoms are Tb at (0.000, 0.181, 0.000), Tb at (0.000, 0.265, 0.500), Tb at (0.130, 0.500, 0.852), Tm at (0.243, 0.500, 0.357), Ag at (0.071, 0.000, 0.318) and Ag at (0.241, 0.245, 0.229).

Entry 12:
Density functional theory data (PBE) for an optimized crystal structure of TbTm2Ag2.

The value obtained for the magnetization is 0.00 μB per atom. The formation energy comes out at -0.102 eV/atom. Its crystal system is monoclinic. For the energy above the lowest structure with this stoichiometry, the calculation gives 0.145 eV/atom.

The space group is P2_1/m (No. 11) and the conventional cell measures 5.221, 4.832 and 10.824 Å, with angles of 90.00, 94.45 and 90.00 degrees. The inequivalent atoms are Tb at (0.194, 0.250, 0.242), Tm at (0.251, 0.750, 0.494), Tm at (0.344, 0.250, 0.889), Ag at (0.145, 0.750, 0.009) and Ag at (0.271, 0.250, 0.634).